(1)
Entry from Alexandria: a PBEsol-optimized structure of Y2In2Ni (meta-GGA SCAN).

Cell: 7.7046 7.7046 7.7046 Å, 148.34 148.34 45.39°
Last column: nearest neighbours and their distance in Å.
Sites, in units of the cell vectors:
1 Y 0.2500 0.7500 0.5000  4 Y 2.97, 4 In 3.09
2 Y 0.7500 0.2500 0.5000  4 Y 2.97, 4 In 3.09
3 In 0.0910 0.0910 0.0000  1 In 2.59
4 In 0.9090 0.9090 0.0000  1 In 2.59
5 Ni 0.5000 0.5000 0.0000  8 In 3.24

Computed properties:
Its energy of formation from the pure elements is 0.5359 eV/atom. As for the total magnetization: 0.0 Bohr magnetons per cell.


(2)
Entry from Alexandria: a PBEsol-optimized structure of Y2In2Ni (meta-GGA SCAN).

Cell: 7.3714 7.3714 3.5438 Å, 90.00 90.00 144.42°
Last column: nearest neighbours and their distance in Å.
Sites, in units of the cell vectors:
1 Y 0.1083 0.8917 0.0000  1 Y 3.04, 6 In 3.08-3.36, 4 Ni 3.24
2 Y 0.8917 0.1083 0.0000  1 Y 3.04, 6 In 3.08-3.36, 4 Ni 3.24
3 In 0.3118 0.6882 0.5000  1 Ni 2.64, 2 In 2.84
4 In 0.6882 0.3118 0.5000  1 Ni 2.64, 2 In 2.84
5 Ni 0.5000 0.5000 0.5000  2 In 2.64

Computed properties:
Its energy of formation from the pure elements is -0.3246 eV/atom. As for the total magnetization: 0.0 Bohr magnetons per cell.


(3)
Entry from Alexandria: a PBEsol-optimized structure of YIn3Ni (meta-GGA SCAN).

Cell: 4.8389 4.8389 4.8389 Å, 90.00 90.00 90.00°
Last column: nearest neighbours and their distance in Å.
Sites, in units of the cell vectors:
1 Y 0.0000 0.0000 0.0000  12 In 3.42
2 In 0.0000 0.5000 0.5000  2 Ni 2.42
3 In 0.5000 0.0000 0.5000  2 Ni 2.42
4 In 0.5000 0.5000 0.0000  2 Ni 2.42
5 Ni 0.5000 0.5000 0.5000  6 In 2.42

Computed properties:
Its energy of formation from the pure elements is -0.2238 eV/atom. As for the total magnetization: 0.0 Bohr magnetons per cell.


(4)
Entry from Alexandria: a PBEsol-optimized structure of YInNi (meta-GGA SCAN).

Cell: 7.3178 7.3178 3.7652 Å, 90.00 90.00 120.00°
Last column: nearest neighbours and their distance in Å.
Sites, in units of the cell vectors:
1 Y 0.0000 0.4111 0.0000  5 Ni 2.90-3.01, 6 In 3.09-3.23
2 Y 0.4111 0.0000 0.0000  5 Ni 2.90-3.01, 6 In 3.09-3.23
3 Y 0.5889 0.5889 0.0000  5 Ni 2.90-3.01, 6 In 3.09-3.23
4 In 0.0000 0.7464 0.5000  4 Ni 2.64-2.78
5 In 0.2536 0.2536 0.5000  4 Ni 2.64-2.78
6 In 0.7464 0.0000 0.5000  4 Ni 2.64-2.78
7 Ni 0.0000 0.0000 0.0000  6 In 2.64
8 Ni 0.3333 0.6667 0.5000  3 In 2.78, 6 Y 2.90
9 Ni 0.6667 0.3333 0.5000  3 In 2.78, 6 Y 2.90

Computed properties:
Its energy of formation from the pure elements is -0.5937 eV/atom. As for the total magnetization: 0.0 Bohr magnetons per cell.


Q: Which value of energy of formation from the pure elements does entry 4 give?
A: -0.5937 eV/atom


Q: Which formula does entry 2 have?
A: Y2In2Ni


Q: Which value of total magnetization does entry 3 give?
A: 0.0 Bohr magnetons per cell


Q: Which formula does entry 1 have?
A: Y2In2Ni